The following is a DFT calculation (PBE) of a relaxed Pr2Sm3Er6 crystal.

The structure in extended XYZ format:
```
11
Lattice="-2.3779 2.3779 16.6156 2.3779 -2.3779 16.6156 2.3779 2.3779 -16.6156" Properties=species:S:1:pos:R:3 pbc="T T T"
Pr 0.0000 0.0000 1.5475
Pr 0.0000 0.0000 31.6837
Sm 0.0000 0.0000 9.8535
Sm 0.0000 0.0000 16.6156
Sm 0.0000 0.0000 23.3778
Er 2.3779 0.0000 4.0513
Er 0.0000 0.0000 6.4243
Er 2.3779 0.0000 12.5644
Er 0.0000 2.3779 4.0513
Er 0.0000 0.0000 26.8070
Er 0.0000 2.3779 12.5644
```

Output
The calculation puts the spin magnetization at 0.000 μB per atom. The calculation puts the calculated formation energy at 0.26 eV/atom. The density comes out at 7.7 g/cm3.